(1)
{
  "formula": "YNpCuO6",
  "functional": "GGA-PBE",
  "state": "relaxed",
  "space_group": "P-31c, No. 163",
  "total_magnetization_mub_per_cell": 1.94,
  "crystal_system": "trigonal",
  "raw_formation_energy_ev_per_atom": -2.323,
  "cell": [[5.284, 0.000, 0.000], [-2.642, 4.576, 0.000], [0.000, 0.000, 10.063]],
  "species": ["Y", "Y", "Np", "Np", "Cu", "Cu", "O", "O", "O", "O", "O", "O", "O", "O", "O", "O", "O", "O"],
  "fractional_positions": [[0.000, 0.000, 0.000], [0.000, 0.000, 0.500], [0.667, 0.333, 0.250], [0.333, 0.667, 0.750], [0.333, 0.667, 0.250], [0.667, 0.333, 0.750], [0.655, 0.647, 0.137], [0.991, 0.345, 0.137], [0.345, 0.991, 0.637], [0.009, 0.655, 0.863], [0.353, 0.345, 0.363], [0.991, 0.647, 0.363], [0.647, 0.991, 0.863], [0.655, 0.009, 0.363], [0.009, 0.353, 0.637], [0.353, 0.009, 0.137], [0.647, 0.655, 0.637], [0.345, 0.353, 0.863]]
}

=====

(2)
{
  "formula": "YNpCu2O8",
  "functional": "GGA-PBE",
  "state": "relaxed",
  "space_group": "I-4m2, No. 119",
  "total_magnetization_mub_per_cell": 2.06,
  "crystal_system": "tetragonal",
  "raw_formation_energy_ev_per_atom": -1.643,
  "cell": [[5.872, 0.353, 0.000], [-2.288, 5.419, 0.000], [-1.792, -2.886, 4.802]],
  "species": ["Y", "Np", "Cu", "Cu", "O", "O", "O", "O", "O", "O", "O", "O"],
  "fractional_positions": [[0.000, 0.000, 0.000], [0.250, 0.750, 0.500], [0.750, 0.250, 0.500], [0.500, 0.500, 0.000], [0.372, 0.045, 0.328], [0.301, 0.503, 0.202], [0.301, 0.098, 0.798], [0.717, 0.045, 0.672], [0.902, 0.699, 0.202], [0.955, 0.283, 0.328], [0.955, 0.628, 0.672], [0.497, 0.699, 0.798]]
}

=====

(3)
{
  "formula": "NpZnCu2O6",
  "functional": "GGA-PBE",
  "state": "relaxed",
  "space_group": "C2/c, No. 15",
  "total_magnetization_mub_per_cell": 1.97,
  "crystal_system": "monoclinic",
  "raw_formation_energy_ev_per_atom": -1.518,
  "cell": [[5.381, -0.276, -0.287], [1.294, 6.773, 0.306], [1.294, 0.055, 6.780]],
  "species": ["Np", "Np", "Zn", "Zn", "Cu", "Cu", "Cu", "Cu", "O", "O", "O", "O", "O", "O", "O", "O", "O", "O", "O", "O"],
  "fractional_positions": [[0.250, 0.266, 0.734], [0.750, 0.734, 0.266], [0.250, 0.915, 0.085], [0.750, 0.085, 0.915], [0.179, 0.783, 0.608], [0.321, 0.392, 0.217], [0.821, 0.217, 0.392], [0.679, 0.608, 0.783], [0.117, 0.982, 0.801], [0.383, 0.199, 0.018], [0.883, 0.018, 0.199], [0.617, 0.801, 0.982], [0.404, 0.849, 0.364], [0.096, 0.636, 0.151], [0.596, 0.151, 0.636], [0.904, 0.364, 0.849], [0.866, 0.713, 0.540], [0.634, 0.460, 0.287], [0.134, 0.287, 0.460], [0.366, 0.540, 0.713]]
}

=====

(4)
{
  "formula": "NpZnCuO6",
  "functional": "GGA-PBE",
  "state": "relaxed",
  "space_group": "P-31c, No. 163",
  "total_magnetization_mub_per_cell": 4.00,
  "crystal_system": "trigonal",
  "raw_formation_energy_ev_per_atom": -1.552,
  "cell": [[5.175, 0.000, 0.000], [-2.587, 4.481, 0.000], [0.000, 0.000, 9.229]],
  "species": ["Np", "Np", "Zn", "Zn", "Cu", "Cu", "O", "O", "O", "O", "O", "O", "O", "O", "O", "O", "O", "O"],
  "fractional_positions": [[0.667, 0.333, 0.250], [0.333, 0.667, 0.750], [0.000, 0.000, 0.000], [0.000, 0.000, 0.500], [0.333, 0.667, 0.250], [0.667, 0.333, 0.750], [0.659, 0.658, 0.131], [0.000, 0.341, 0.131], [0.341, 0.000, 0.631], [0.000, 0.659, 0.869], [0.342, 0.341, 0.369], [0.000, 0.658, 0.369], [0.658, 0.000, 0.869], [0.659, 0.000, 0.369], [0.000, 0.342, 0.631], [0.342, 0.000, 0.131], [0.658, 0.659, 0.631], [0.341, 0.342, 0.869]]
}

=====

(5)
{
  "formula": "NpZnCu2O8",
  "functional": "GGA-PBE",
  "state": "relaxed",
  "space_group": "I-4m2, No. 119",
  "total_magnetization_mub_per_cell": 0.01,
  "crystal_system": "tetragonal",
  "raw_formation_energy_ev_per_atom": -1.019,
  "cell": [[5.708, 0.525, 0.000], [-2.061, 5.349, 0.000], [-1.823, -2.937, 4.572]],
  "species": ["Np", "Zn", "Cu", "Cu", "O", "O", "O", "O", "O", "O", "O", "O"],
  "fractional_positions": [[0.250, 0.750, 0.500], [0.000, 0.000, 0.000], [0.750, 0.250, 0.500], [0.500, 0.500, 0.000], [0.362, 0.047, 0.315], [0.304, 0.506, 0.202], [0.304, 0.102, 0.798], [0.732, 0.047, 0.685], [0.898, 0.696, 0.202], [0.953, 0.268, 0.315], [0.953, 0.638, 0.685], [0.494, 0.696, 0.798]]
}

=====

(6)
{
  "formula": "ZrNpCuO6",
  "functional": "GGA-PBE",
  "state": "relaxed",
  "space_group": "P-31c, No. 163",
  "total_magnetization_mub_per_cell": 0.98,
  "crystal_system": "trigonal",
  "raw_formation_energy_ev_per_atom": -2.273,
  "cell": [[5.558, 0.000, 0.000], [-2.779, 4.814, 0.000], [0.000, 0.000, 8.965]],
  "species": ["Zr", "Zr", "Np", "Np", "Cu", "Cu", "O", "O", "O", "O", "O", "O", "O", "O", "O", "O", "O", "O"],
  "fractional_positions": [[0.667, 0.333, 0.250], [0.333, 0.667, 0.750], [0.333, 0.667, 0.250], [0.667, 0.333, 0.750], [0.000, 0.000, 0.000], [0.000, 0.000, 0.500], [0.643, 0.654, 0.133], [0.010, 0.357, 0.133], [0.357, 0.010, 0.633], [0.990, 0.643, 0.867], [0.346, 0.357, 0.367], [0.010, 0.654, 0.367], [0.654, 0.010, 0.867], [0.643, 0.990, 0.367], [0.990, 0.346, 0.633], [0.346, 0.990, 0.133], [0.654, 0.643, 0.633], [0.357, 0.346, 0.867]]
}

=====

(7)
{
  "formula": "NpCuOs",
  "functional": "GGA-PBE",
  "state": "relaxed",
  "space_group": "C2/m, No. 12",
  "total_magnetization_mub_per_cell": 2.47,
  "ef_ev_per_fu": 0.36,
  "crystal_system": "monoclinic",
  "cell": [[-2.022, 2.913, -1.630], [-3.908, 0.397, -3.786], [-1.202, -2.885, 7.785]],
  "species": ["Np", "Np", "Os", "Os", "Cu", "Cu"],
  "fractional_positions": [[0.776, 0.743, 0.885], [0.270, 0.908, 0.215], [0.288, 0.421, 0.240], [0.758, 0.230, 0.859], [0.016, 0.074, 0.548], [0.031, 0.577, 0.552]]
}

=====

(8)
{
  "formula": "PmNpCuOs",
  "functional": "GGA-PBE",
  "state": "relaxed",
  "space_group": "F-43m, No. 216",
  "total_magnetization_mub_per_cell": 4.10,
  "ef_ev_per_fu": 0.67,
  "crystal_system": "cubic",
  "cell": [[4.899, 0.000, 0.000], [2.449, 4.242, 0.000], [2.449, 1.414, 4.000]],
  "species": ["Np", "Os", "Cu", "Pm"],
  "fractional_positions": [[0.500, 0.500, 0.500], [0.250, 0.250, 0.250], [0.750, 0.750, 0.750], [0.000, 0.000, 0.000]]
}

=====

Calculated N(E_F), 6.2; 9.9; 6.4; 0.8; 9.7; 7.2; 4.1; 10.5 states/eV/f.u. (same order as the records).
Calculated total DFT energy (no corrections), -148.316; -86.982; -134.674; -124.053; -74.302; -151.575; -55.809; -32.345 eV/cell (same order as the records).
Calculated V, 13.52; 13.06; 12.59; 11.89; 12.04; 13.33; 16.43; 20.78 Å³ per atom (same order as the records).